[1]
# Y4W2C3S3 | OQMD | PBE | optimized geometry
data_Y4W2C3S3
_chemical_formula_sum 'Y16 W8 C12 S12'
_cell_length_a 10.445
_cell_length_b 6.076
_cell_length_c 12.830
_cell_angle_alpha 90.00
_cell_angle_beta 104.87
_cell_angle_gamma 90.00
_symmetry_space_group_name_H-M 'C 1 2/c 1'
_symmetry_Int_Tables_number 15
loop_
_symmetry_equiv_pos_as_xyz
'x,y,z'
'-x,-y,-z'
'-x,y,-z+1/2'
'x,-y,z+1/2'
'x+1/2,y+1/2,z'
'-x+1/2,-y+1/2,-z'
'-x+1/2,y+1/2,-z+1/2'
'x+1/2,-y+1/2,z+1/2'
loop_
_atom_site_label
_atom_site_fract_x
_atom_site_fract_y
_atom_site_fract_z
Y1 0.119 0.071 0.109
Y2 0.208 0.088 0.390
W1 0.068 0.408 0.921
C1 0.074 0.278 0.500
C2 0.250 0.250 0.000
S1 0.000 0.135 0.750
S2 0.150 0.434 0.252
# Final energy = -8.556 eV/atom
# Crystal system = monoclinic

[2]
# UAlNi | OQMD | PBE | optimized geometry
data_UAlNi
_chemical_formula_sum 'U3 Al3 Ni3'
_cell_length_a 6.5409
_cell_length_b 6.5409
_cell_length_c 4.1237
_cell_angle_alpha 90.00
_cell_angle_beta 90.00
_cell_angle_gamma 120.00
_symmetry_space_group_name_H-M 'P -6 2 m'
_symmetry_Int_Tables_number 189
_symmetry_space_group_name_Hall 'P -6 -2'
loop_
_atom_site_label
_atom_site_fract_x
_atom_site_fract_y
_atom_site_fract_z
U1 0.0000 0.5717 0.0000
Al1 0.0000 0.2368 0.5000
Ni1 0.0000 0.0000 0.0000
Ni2 0.3333 0.6667 0.5000
# Final energy = -7.147 eV/atom
# Crystal system = hexagonal

[3]
# Tb2Pa2O5 | OQMD | PBE | optimized geometry
data_Tb2Pa2O5
_chemical_formula_sum 'Tb2 Pa2 O5'
_cell_length_a 4.393
_cell_length_b 4.393
_cell_length_c 7.444
_cell_angle_alpha 90.00
_cell_angle_beta 90.00
_cell_angle_gamma 90.00
_symmetry_space_group_name_H-M 'P 4/m m m'
_symmetry_Int_Tables_number 123
_symmetry_space_group_name_Hall '-P 4 2'
loop_
_atom_site_label
_atom_site_fract_x
_atom_site_fract_y
_atom_site_fract_z
Tb1 0.000 0.000 0.216
Pa1 0.500 0.500 0.000
Pa2 0.500 0.500 0.500
O1 0.000 0.000 0.500
O2 0.000 0.500 0.230
# Excess energy over the best structure of this formula in the dataset = 97.5 kJ/mol of formula units
# Crystal system = tetragonal

[4]
# GdDyTl2 | OQMD | PBE | optimized geometry
data_GdDyTl2
_chemical_formula_sum 'Gd1 Dy1 Tl2'
_cell_length_a 3.594
_cell_length_b 3.594
_cell_length_c 8.431
_cell_angle_alpha 90.00
_cell_angle_beta 90.00
_cell_angle_gamma 90.00
_symmetry_space_group_name_H-M 'P 4/m m m'
_symmetry_Int_Tables_number 123
_symmetry_space_group_name_Hall '-P 4 2'
loop_
_atom_site_label
_atom_site_fract_x
_atom_site_fract_y
_atom_site_fract_z
Gd1 0.000 0.000 0.000
Dy1 0.000 0.000 0.500
Tl1 0.500 0.500 0.253
# Final energy = -3.847 eV/atom
# Crystal system = tetragonal